Below is a relaxed YGaSe3 crystal, with properties calculated at the PBE-GGA level.

Calculated values
Its uncorrected formation energy is -1.120 eV/atom. As for the crystal system: monoclinic. Its total magnetic moment is 0.000 μB per formula unit.

Geometry as extended XYZ:
```
20
Lattice="-2.579 4.546 -4.742 1.502 -4.715 -5.337 -8.542 -4.865 1.895" Properties=species:S:1:pos:R:3 pbc="T T T"
Se -7.147 -6.852 -2.611
Se -8.964 -0.328 -2.762
Se -5.693 -2.137 -1.405
Se -2.813 -2.023 -3.437
Se -8.567 -3.867 -0.968
Ga -8.680 -2.943 -3.193
Se -5.432 0.356 -4.832
Se -0.655 -4.706 -5.423
Ga -6.237 -3.077 -7.350
Y -3.872 -0.092 -7.274
Se -1.052 -1.167 -7.217
Se -6.806 -3.011 -4.747
Ga -0.940 -2.091 -4.991
Se -4.187 -5.391 -3.352
Se -2.473 1.818 -5.573
Ga -3.382 -1.957 -0.834
Se -3.926 -2.897 -6.779
Y -6.497 -5.917 -5.223
Y -5.747 -4.942 -0.910
Y -3.122 0.883 -2.962
```